Entry one
Density functional theory data (PBE-GGA) for a relaxed SrSiPd2Pt crystal.

Computed properties:
Fermi-level density of states   6.3 states/eV per cell
Space group   P4/mmm, No. 123

Unit cell a=5.001 b=5.399 c=5.001 alpha=90.00 beta=90.00 gamma=90.00
Fractional positions:
Pd (0.000, 0.000, 0.500)
Pd (0.500, 0.000, 0.000)
Si (0.500, 0.500, 0.500)
Sr (0.000, 0.500, 0.000)
Pt (0.000, 0.000, 0.000)

=====

Entry two
Density functional theory data (PBE-GGA) for a relaxed SrSiPd2Pt crystal.

Computed properties:
Fermi-level density of states   3.0 states/eV per cell
Space group   P4/mmm, No. 123

Unit cell a=4.695 b=4.695 c=4.666 alpha=90.00 beta=90.00 gamma=90.00
Fractional positions:
Sr (0.500, 0.500, 0.500)
Pd (0.000, 0.500, 0.000)
Pd (0.500, 0.000, 0.000)
Si (0.000, 0.000, 0.000)
Pt (0.000, 0.000, 0.500)

=====

Stability check: which of them is least stable? entry one.

=====

Entry one
Density functional theory data (PBE-GGA) for a relaxed Sm2PdPt3 crystal.

Computed properties:
Fermi-level density of states   6.2 states/eV per cell
Space group   Ibam, No. 72

Unit cell a=7.939 b=8.392 c=7.159 alpha=125.88 beta=123.68 gamma=90.00
Fractional positions:
Sm (0.523, 0.318, 0.637)
Sm (0.114, 0.818, 0.637)
Sm (0.477, 0.682, 0.363)
Sm (0.886, 0.182, 0.363)
Pt (0.815, 0.565, 0.630)
Pt (0.500, 0.250, 0.000)
Pt (0.185, 0.935, 0.370)
Pt (0.815, 0.065, 0.630)
Pt (0.500, 0.750, 0.000)
Pt (0.185, 0.435, 0.370)
Pd (0.000, 0.000, 0.000)
Pd (0.000, 0.500, 0.000)

=====

Entry two
Density functional theory data (PBE-GGA) for a relaxed Sm2PdPt3 crystal.

Computed properties:
Fermi-level density of states   13.3 states/eV per cell
Space group   Pnma, No. 62

Unit cell a=4.010 b=7.193 c=17.163 alpha=90.00 beta=90.00 gamma=90.00
Fractional positions:
Pt (0.250, 0.132, 0.152)
Pt (0.750, 0.246, 0.051)
Pt (0.250, 0.753, 0.192)
Pt (0.750, 0.247, 0.808)
Pt (0.250, 0.632, 0.348)
Pt (0.750, 0.746, 0.449)
Pt (0.750, 0.747, 0.692)
Pt (0.250, 0.754, 0.949)
Pt (0.750, 0.868, 0.848)
Pt (0.250, 0.253, 0.308)
Pt (0.750, 0.368, 0.652)
Pt (0.250, 0.254, 0.551)
Pd (0.750, 0.002, 0.569)
Pd (0.250, 0.998, 0.431)
Pd (0.250, 0.498, 0.069)
Pd (0.750, 0.502, 0.931)
Sm (0.250, 0.154, 0.933)
Sm (0.750, 0.846, 0.067)
Sm (0.250, 0.562, 0.792)
Sm (0.750, 0.438, 0.208)
Sm (0.750, 0.938, 0.292)
Sm (0.250, 0.062, 0.708)
Sm (0.250, 0.654, 0.567)
Sm (0.750, 0.346, 0.433)

=====

Stability check: which of them is least stable? entry one.

=====

Entry one
Density functional theory data (PBE-GGA) for a relaxed SmPd4Pt crystal.

Computed properties:
Fermi-level density of states   8.2 states/eV per cell
Space group   F-43m, No. 216

Unit cell a=5.322 b=5.322 c=5.322 alpha=60.00 beta=60.00 gamma=60.00
Fractional positions:
Pd (0.128, 0.624, 0.624)
Pd (0.624, 0.624, 0.624)
Pd (0.624, 0.128, 0.624)
Pd (0.624, 0.624, 0.128)
Pt (0.250, 0.250, 0.250)
Sm (0.000, 0.000, 0.000)

=====

Entry two
Density functional theory data (PBE-GGA) for a relaxed SmPd4Pt crystal.

Computed properties:
Fermi-level density of states   10.5 states/eV per cell
Space group   Pmma, No. 51

Unit cell a=4.194 b=6.887 c=7.645 alpha=90.00 beta=90.00 gamma=90.00
Fractional positions:
Pd (0.000, 0.000, 0.500)
Pd (0.500, 0.031, 0.250)
Pd (0.500, 0.969, 0.750)
Pd (0.500, 0.698, 0.034)
Pd (0.500, 0.698, 0.466)
Pd (0.500, 0.302, 0.966)
Pd (0.000, 0.000, 0.000)
Pd (0.500, 0.302, 0.534)
Sm (0.000, 0.341, 0.250)
Sm (0.000, 0.659, 0.750)
Pt (0.000, 0.737, 0.250)
Pt (0.000, 0.263, 0.750)

=====

Entry three
Density functional theory data (PBE-GGA) for a relaxed SmPd4Pt crystal.

Computed properties:
Fermi-level density of states   3.2 states/eV per cell
Space group   C2/m, No. 12

Unit cell a=4.933 b=5.011 c=5.082 alpha=60.46 beta=81.18 gamma=71.88
Fractional positions:
Sm (0.000, 0.000, 0.000)
Pd (0.000, 0.664, 0.673)
Pd (0.500, 0.822, 0.357)
Pd (0.000, 0.336, 0.327)
Pd (0.500, 0.178, 0.643)
Pt (0.500, 0.500, 0.000)

=====

Stability check: which of them is least stable? entry two.